A plane-wave DFT calculation with GGA-PBE was carried out for an optimized crystal structure of Tb2ErTl3AgPt2.

a = 3.7693 Å, b = 7.9260 Å, c = 7.9260 Å
α = 119.85°, β = 90.00°, γ = 90.00°
Atoms (fractional coordinates):
Tb  0.0000  0.2051  0.7949
Tb  0.0000  0.7949  0.2051
Er  0.0000  0.3843  0.3843
Tl  0.5000  0.0656  0.0656
Tl  0.5000  0.5245  0.7944
Tl  0.5000  0.7944  0.5245
Ag  0.0000  0.7944  0.7944
Pt  0.5000  0.1302  0.4610
Pt  0.5000  0.4610  0.1302

E_tot = -4.643 eV/atom